This record from Alexandria via LeMat-Bulk describes a geometry-optimized Pm2Nd5 structure. The functional is PBE. Values from VASP.

Calculated values
Energy above the lowest structure with this stoichiometry ... 0.020 eV/atom
DOS at the Fermi energy ... 2.1166 states/eV/atom
Total DFT energy (no corrections) ... -32.49 eV for the cell shown

Quantum ESPRESSO input file:
```
&SYSTEM
  ibrav = 0, nat = 7, ntyp = 2
/
ATOMIC_SPECIES
Nd 144.24 Nd.upf
Pm 145.00 Pm.upf
CELL_PARAMETERS angstrom
5.8203 0.0000 0.0000
2.9102 5.0406 0.0000
2.9102 1.6802 8.3700
ATOMIC_POSITIONS crystal
Nd 0.2285 0.2285 0.3145
Nd 0.5000 0.5000 0.5000
Nd 0.7715 0.7715 0.6855
Pm 0.3638 0.3638 0.9085
Nd 0.0834 0.0834 0.7498
Pm 0.6362 0.6362 0.0915
Nd 0.9166 0.9166 0.2502
```

---

This record from Alexandria via LeMat-Bulk describes a geometry-optimized Pm5Nd structure. The functional is PBE. Values from VASP.

Calculated values
DOS at the Fermi energy ... 1.4953 states/eV/atom
Total DFT energy (no corrections) ... -28.44 eV for the cell shown

Quantum ESPRESSO input file:
```
&SYSTEM
  ibrav = 0, nat = 6, ntyp = 2
/
ATOMIC_SPECIES
Pm 145.00 Pm.upf
Nd 144.24 Nd.upf
CELL_PARAMETERS angstrom
5.1654 0.0000 0.0000
0.0000 5.1646 0.0000
0.0000 -2.5823 7.7652
ATOMIC_POSITIONS crystal
Pm 0.5000 0.1668 0.3337
Pm 0.0000 0.6669 0.3338
Pm 0.5000 0.5000 0.0000
Pm 0.0000 0.3331 0.6662
Pm 0.5000 0.8332 0.6663
Nd 0.0000 0.0000 0.0000
```

---

This record from Alexandria via LeMat-Bulk describes a geometry-optimized Pm13Nd2 structure. The functional is PBE. Values from VASP.

Calculated values
Energy above the lowest structure with this stoichiometry ... 0.000 eV/atom
DOS at the Fermi energy ... 1.4517 states/eV/atom
Total DFT energy (no corrections) ... -70.66 eV for the cell shown

Quantum ESPRESSO input file:
```
&SYSTEM
  ibrav = 0, nat = 15, ntyp = 2
/
ATOMIC_SPECIES
Pm 145.00 Pm.upf
Nd 144.24 Nd.upf
CELL_PARAMETERS angstrom
-6.7684 0.2922 -0.8683
0.3482 -4.2625 7.8616
-0.9340 9.1125 1.2009
ATOMIC_POSITIONS crystal
Pm 0.9030 0.4213 0.3068
Pm 0.6664 0.9999 0.3329
Pm 0.5324 0.1970 0.0650
Pm 0.3336 0.0001 0.6671
Pm 0.1338 0.8027 0.2674
Pm 0.4298 0.5783 0.3591
Nd 0.1995 0.1968 0.3987
Pm 0.8662 0.1973 0.7326
Nd 0.8005 0.8032 0.6013
Pm 0.5702 0.4217 0.6409
Pm 0.0970 0.5787 0.6932
Pm 0.4676 0.8030 0.9350
Pm 0.0000 0.0000 0.0000
Pm 0.2368 0.4220 0.9740
Pm 0.7632 0.5780 0.0260
```

---

This record from Alexandria via LeMat-Bulk describes a geometry-optimized Pm3Nd13 structure. The functional is PBE. Values from VASP.

Calculated values
Energy above the lowest structure with this stoichiometry ... 0.000 eV/atom
DOS at the Fermi energy ... 1.6437 states/eV/atom
Total DFT energy (no corrections) ... -76.02 eV for the cell shown

Quantum ESPRESSO input file:
```
&SYSTEM
  ibrav = 0, nat = 16, ntyp = 2
/
ATOMIC_SPECIES
Nd 144.24 Nd.upf
Pm 145.00 Pm.upf
CELL_PARAMETERS angstrom
7.3515 0.0130 0.0000
-0.0132 7.3515 0.0000
0.0000 0.0000 10.3955
ATOMIC_POSITIONS crystal
Nd 0.5002 0.4998 0.7508
Nd 0.7502 0.2498 0.5000
Nd 0.9998 0.4998 0.2498
Pm 0.9998 0.0002 0.7498
Nd 0.2498 0.7502 0.5000
Nd 0.5002 0.0002 0.2498
Pm 0.7507 0.2493 0.0000
Nd 0.7502 0.7502 0.5000
Nd 0.2498 0.2498 0.5000
Nd 0.5002 0.0002 0.7502
Pm 0.9998 0.0002 0.2502
Nd 0.7507 0.7507 0.0000
Nd 0.2493 0.7507 0.0000
Nd 0.9998 0.4998 0.7502
Nd 0.2493 0.2493 0.0000
Nd 0.5002 0.4998 0.2492
```

---

This record from Alexandria via LeMat-Bulk describes a geometry-optimized Pm3Nd13 structure. The functional is PBE. Values from VASP.

Calculated values
Energy above the lowest structure with this stoichiometry ... 0.018 eV/atom
DOS at the Fermi energy ... 1.7111 states/eV/atom
Total DFT energy (no corrections) ... -75.73 eV for the cell shown

Quantum ESPRESSO input file:
```
&SYSTEM
  ibrav = 0, nat = 16, ntyp = 2
/
ATOMIC_SPECIES
Nd 144.24 Nd.upf
Pm 145.00 Pm.upf
CELL_PARAMETERS angstrom
-5.8730 -3.6574 -2.6466
-2.3807 -2.0828 8.1612
-4.5913 7.4511 -0.1086
ATOMIC_POSITIONS crystal
Nd 0.2498 0.5414 0.4586
Nd 0.2498 0.4579 0.0409
Nd 0.5000 0.7919 0.2081
Nd 0.2498 0.9591 0.5421
Nd 0.7502 0.9591 0.5421
Nd 0.0000 0.7089 0.7919
Nd 0.5000 0.2911 0.7089
Pm 0.0000 0.2912 0.7088
Nd 0.7502 0.5414 0.4586
Nd 0.5000 0.2081 0.2912
Nd 0.5000 0.7088 0.7919
Nd 0.0000 0.7919 0.2081
Nd 0.7502 0.4579 0.0409
Pm 0.2499 0.0417 0.9583
Pm 0.7501 0.0417 0.9583
Nd 0.0000 0.2081 0.2911
```

---

This record from Alexandria via LeMat-Bulk describes a geometry-optimized Pm13Nd3 structure. The functional is PBE. Values from VASP.

Calculated values
Energy above the lowest structure with this stoichiometry ... 0.017 eV/atom
DOS at the Fermi energy ... 1.7217 states/eV/atom
Total DFT energy (no corrections) ... -75.57 eV for the cell shown

Quantum ESPRESSO input file:
```
&SYSTEM
  ibrav = 0, nat = 16, ntyp = 2
/
ATOMIC_SPECIES
Pm 145.00 Pm.upf
Nd 144.24 Nd.upf
CELL_PARAMETERS angstrom
7.3774 0.0000 0.0000
0.0000 8.6672 -0.8098
0.0000 0.1449 8.7037
ATOMIC_POSITIONS crystal
Pm 0.2502 0.9579 0.5410
Nd 0.0000 0.2919 0.7081
Pm 0.0000 0.7082 0.7912
Pm 0.7500 0.5418 0.4582
Pm 0.7498 0.9579 0.5410
Pm 0.2500 0.5418 0.4582
Pm 0.5000 0.7077 0.7909
Pm 0.0000 0.2088 0.2918
Pm 0.7498 0.4590 0.0421
Nd 0.7498 0.0412 0.9588
Pm 0.5000 0.2091 0.2923
Pm 0.5000 0.7913 0.2087
Pm 0.5000 0.2919 0.7081
Pm 0.2502 0.4590 0.0421
Pm 0.0000 0.7912 0.2088
Nd 0.2502 0.0412 0.9588
```

---

This record from Alexandria via LeMat-Bulk describes a geometry-optimized PmNd5 structure. The functional is PBE. Values from VASP.

Calculated values
DOS at the Fermi energy ... 1.5488 states/eV/atom
Total DFT energy (no corrections) ... -28.52 eV for the cell shown

Quantum ESPRESSO input file:
```
&SYSTEM
  ibrav = 0, nat = 6, ntyp = 2
/
ATOMIC_SPECIES
Nd 144.24 Nd.upf
Pm 145.00 Pm.upf
CELL_PARAMETERS angstrom
5.1983 0.0000 0.0000
0.0000 5.1920 0.0000
0.0000 -2.5960 7.8105
ATOMIC_POSITIONS crystal
Nd 0.5000 0.5000 0.0000
Nd 0.0000 0.3337 0.6674
Nd 0.5000 0.1666 0.3332
Pm 0.0000 0.0000 0.0000
Nd 0.0000 0.6663 0.3326
Nd 0.5000 0.8334 0.6668
```

---

This record from Alexandria via LeMat-Bulk describes a geometry-optimized PmNd structure. The functional is PBE. Values from VASP.

Calculated values
Energy above the lowest structure with this stoichiometry ... 0.006 eV/atom
DOS at the Fermi energy ... 1.5315 states/eV/atom
Total DFT energy (no corrections) ... -18.98 eV for the cell shown

Quantum ESPRESSO input file:
```
&SYSTEM
  ibrav = 0, nat = 4, ntyp = 2
/
ATOMIC_SPECIES
Nd 144.24 Nd.upf
Pm 145.00 Pm.upf
CELL_PARAMETERS angstrom
-1.2445 3.3938 0.5841
-3.9721 -0.9020 -3.2221
-4.0096 -2.4387 5.6255
ATOMIC_POSITIONS crystal
Nd 0.2496 0.7500 0.6258
Pm 0.7496 0.2500 0.8758
Pm 0.2504 0.7500 0.1242
Nd 0.7504 0.2500 0.3742
```